NaLa2Cu2: PBEsol geometry, meta-GGA SCAN.

Values from the calculation:
final energy	-24.2347	eV per atom
symmetry	P4/mbm, No. 127
formation energy from the elements	-0.070	eV/atom
total magnetic moment	0.00	μB per formula unit

Unit cell a=3.7900 b=8.0867 c=8.0867 alpha=90.00 beta=90.00 gamma=90.00
With the nearest neighbours (Å) after each atom.
Positions (direct):
Na (0.0000, 0.0000, 0.0000)  4 Cu 3.22, 8 La 3.58
Na (0.0000, 0.5000, 0.5000)  4 Cu 3.22, 8 La 3.58
Cu (0.0000, 0.3801, 0.8801)  1 Cu 2.74, 4 La 2.98
Cu (0.0000, 0.8801, 0.6199)  1 Cu 2.74, 4 La 2.98
Cu (0.0000, 0.6199, 0.1199)  1 Cu 2.74, 4 La 2.98
Cu (0.0000, 0.1199, 0.3801)  1 Cu 2.74, 4 La 2.98
La (0.5000, 0.1613, 0.6613)  6 Cu 2.98-3.14
La (0.5000, 0.6613, 0.8387)  6 Cu 2.98-3.14
La (0.5000, 0.8387, 0.3387)  6 Cu 2.98-3.14
La (0.5000, 0.3387, 0.1613)  6 Cu 2.98-3.14

La2NbCuPb: PBEsol geometry, meta-GGA SCAN.

Values from the calculation:
final energy	-41.6637	eV per atom
symmetry	P4/mmm, No. 123
formation energy from the elements	0.400	eV/atom
total magnetic moment	0.00	μB per formula unit

Unit cell a=4.8128 b=5.4652 c=5.4652 alpha=90.00 beta=90.00 gamma=90.00
With the nearest neighbours (Å) after each atom.
Positions (direct):
Pb (0.5000, 0.5000, 0.5000)  8 La 3.64, 4 Cu 3.86
Nb (0.0000, 0.0000, 0.0000)  2 Cu 2.41
Cu (0.5000, 0.0000, 0.0000)  2 Nb 2.41
La (0.0000, 0.0000, 0.5000)  2 Nb 2.73
La (0.0000, 0.5000, 0.0000)  2 Nb 2.73

SrLaNdCu2O6: PBEsol geometry, meta-GGA SCAN.

Values from the calculation:
final energy	-18.5931	eV per atom
symmetry	I4mm, No. 107
energy relative to the elements, uncorrected	-2680	kJ/mol of formula units
total magnetic moment	0.00	μB per formula unit

Unit cell a=3.8137 b=3.8137 c=10.1626 alpha=100.81 beta=100.81 gamma=90.00
With the nearest neighbours (Å) after each atom.
Positions (direct):
Sr (0.1788, 0.1788, 0.3575)  1 O 2.41
La (0.8187, 0.8187, 0.6374)  1 O 2.22
Nd (0.0008, 0.0008, 0.0016)  8 O 2.42-2.49
Cu (0.5902, 0.5902, 0.1803)  4 O 1.92
Cu (0.4122, 0.4122, 0.8244)  4 O 1.91
O (0.7055, 0.7055, 0.4110)  1 La 2.22, 1 Cu 2.26
O (0.3018, 0.3018, 0.6035)  1 Cu 2.16, 1 Sr 2.41
O (0.0771, 0.5771, 0.1542)  2 Cu 1.92
O (0.5771, 0.0771, 0.1542)  2 Cu 1.92
O (0.9189, 0.4189, 0.8379)  2 Cu 1.91
O (0.4189, 0.9189, 0.8379)  2 Cu 1.91

LaCu2Ni3: PBEsol geometry, meta-GGA SCAN.

Values from the calculation:
final energy	-20.5614	eV per atom
symmetry	P6/mmm, No. 191
formation energy from the elements	-0.224	eV/atom
total magnetic moment	0.00	μB per formula unit

Unit cell a=3.9005 b=5.0058 c=5.0058 alpha=120.00 beta=90.00 gamma=90.00
With the nearest neighbours (Å) after each atom.
Positions (direct):
La (0.0000, 0.0000, 0.0000)  6 Cu 2.89, 12 Ni 3.17
Cu (0.0000, 0.6667, 0.3333)  6 Ni 2.43
Cu (0.0000, 0.3333, 0.6667)  6 Ni 2.43
Ni (0.5000, 0.5000, 0.5000)  4 Cu 2.43, 4 Ni 2.50
Ni (0.5000, 0.0000, 0.5000)  4 Cu 2.43, 4 Ni 2.50
Ni (0.5000, 0.5000, 0.0000)  4 Cu 2.43, 4 Ni 2.50

Look up the total magnetic moment of the first one. 0.00 μB per formula unit